(1)
Computed, not measured: Cd2Ge after structural relaxation at the GGA-PBE level of DFT.

CIF file:
```
data_Cd2Ge
_space_group_name_H-M_alt 'P n m a'
_space_group_IT_number 62
_cell_length_a 6.222
_cell_length_b 4.492
_cell_length_c 9.308
_cell_angle_alpha 90.00
_cell_angle_beta 90.00
_cell_angle_gamma 90.00
loop_
_space_group_symop_operation_xyz
'x,y,z'
'-x,-y,-z'
'-x+1/2,-y,z+1/2'
'x+1/2,y,-z+1/2'
'x+1/2,-y+1/2,-z+1/2'
'-x+1/2,y+1/2,z+1/2'
'-x,y+1/2,-z'
'x,-y+1/2,z'
loop_
_atom_site_label
_atom_site_fract_x
_atom_site_fract_y
_atom_site_fract_z
_atom_site_occupancy
Cd1 0.111 0.250 0.248 1
Cd2 0.133 0.250 0.581 1
Ge1 0.124 0.250 0.914 1
```

mass density: 7.60 g/cm³
calculated total energy: -24.059 eV for the cell shown



(2)
Computed, not measured: ZnHgTeO after structural relaxation at the GGA-PBE level of DFT.

CIF file:
```
data_ZnHgTeO
_space_group_name_H-M_alt 'C m c m'
_space_group_IT_number 63
_space_group_name_Hall '-C 2c 2'
_cell_length_a 3.973
_cell_length_b 14.093
_cell_length_c 5.802
_cell_angle_alpha 90.00
_cell_angle_beta 90.00
_cell_angle_gamma 90.00
loop_
_atom_site_label
_atom_site_fract_x
_atom_site_fract_y
_atom_site_fract_z
_atom_site_occupancy
Zn1 0.000 0.089 0.250 1
Hg1 0.000 0.409 0.250 1
Te1 0.000 0.288 0.750 1
O1 0.000 0.000 0.000 1
```

mass density: 8.37 g/cm³
relative energy among the computed polymorphs: 0.336 eV per atom



> What is the mass density in the second record?

8.37 g/cm³